Here is an optimized crystal structure of Rb2SnTeI6 from Alexandria via LeMat-Bulk. Energies are from GGA-PBE. Values from VASP.

```
&SYSTEM
  ibrav = 0, nat = 10, ntyp = 4
/
ATOMIC_SPECIES
I 126.90 I.upf
Te 127.60 Te.upf
Sn 118.71 Sn.upf
Rb 85.47 Rb.upf
CELL_PARAMETERS angstrom
8.726 0.000 0.000
0.000 8.726 0.000
4.363 4.363 6.271
ATOMIC_POSITIONS angstrom
I 4.363 4.363 3.055
I 8.726 8.726 3.216
I 2.203 2.203 0.000
I 6.523 6.523 0.000
I 6.523 2.203 0.000
I 2.203 6.523 0.000
Te 0.000 0.000 0.000
Sn 4.363 4.363 0.000
Rb 8.726 4.363 3.136
Rb 4.363 8.726 3.136
```

Output
Calculated density (g/cm³): 4.1
Energy relative to the elements, uncorrected (eV per formula unit): -6.9